No. 1
VASP calculation (GGA-PBE) on a relaxed structure of Tb4Sm3TmS8.

- Uncorrected energy: -6.3836 eV per atom
- N(E_F): 8.785 states/eV/cell
- Energy relative to the elements, uncorrected: -2.00 eV/atom

Geometry as POSCAR:
```
Tb4Sm3TmS8
1.0
3.950 2.281 6.447
-3.950 2.281 6.447
0.000 -4.561 6.447
Tb Sm Tm S
4 3 1 8
Direct
0.000 0.000 0.000 Tb
0.000 0.500 0.500 Tb
0.500 0.000 0.500 Tb
0.500 0.500 0.000 Tb
0.000 0.000 0.500 Sm
0.000 0.500 0.000 Sm
0.500 0.000 0.000 Sm
0.500 0.500 0.500 Tm
0.253 0.253 0.253 S
0.253 0.253 0.741 S
0.253 0.741 0.253 S
0.259 0.747 0.747 S
0.741 0.253 0.253 S
0.747 0.259 0.747 S
0.747 0.747 0.259 S
0.747 0.747 0.747 S
```



No. 2
VASP calculation (GGA-PBE) on a relaxed structure of Sc6SbPd5.

- Uncorrected energy: -6.5368 eV per atom
- N(E_F): 6.384 states/eV/cell
- Energy relative to the elements, uncorrected: -0.86 eV/atom

Geometry as POSCAR:
```
Sc6SbPd5
1.0
4.769 0.000 0.000
0.000 6.637 0.000
-2.395 0.000 7.182
Sc Sb Pd
6 1 5
Direct
0.000 0.239 0.000 Sc
0.000 0.761 0.000 Sc
0.329 0.244 0.656 Sc
0.329 0.756 0.656 Sc
0.671 0.244 0.344 Sc
0.671 0.756 0.344 Sc
0.500 0.500 0.000 Sb
0.160 0.000 0.327 Pd
0.167 0.500 0.339 Pd
0.500 0.000 0.000 Pd
0.833 0.500 0.661 Pd
0.840 0.000 0.673 Pd
```



No. 3
VASP calculation (GGA-PBE) on a relaxed structure of La2Cd2Cl.

- ΔE to the lowest computed polymorph: 0.2716 eV/atom
- Uncorrected energy: -3.1389 eV per atom
- N(E_F): 5.151 states/eV/cell
- Energy relative to the elements, uncorrected: -0.43 eV/atom

Geometry as POSCAR:
```
La2Cd2Cl
1.0
9.092 0.000 0.000
0.000 9.092 0.000
0.000 0.000 3.747
La Cd Cl
4 4 2
Direct
0.187 0.313 0.000 La
0.313 0.813 0.000 La
0.687 0.187 0.000 La
0.813 0.687 0.000 La
0.110 0.610 0.500 Cd
0.390 0.110 0.500 Cd
0.610 0.890 0.500 Cd
0.890 0.390 0.500 Cd
0.000 0.000 0.500 Cl
0.500 0.500 0.500 Cl
```